1.
A relaxed NiMo2Se crystal, computed with PBE.

## Properties
**Calculated total energy**: -7.476 eV/atom
**Formation energy (no corrections)**: 1.02 eV/f.u.
**V**: 15.03 Å³ per atom

a = 3.2554 Å, b = 3.2550 Å, c = 5.6754 Å
α = 90.00°, β = 90.00°, γ = 90.00°
Last column: nearest neighbours and their distance in Å.
Fractional coordinates of all 4 atoms:
1 Ni 0.5000 0.5000 0.2500  8 Mo 2.62, 2 Se 2.84
2 Mo 0.0000 0.0000 0.0310  1 Mo 2.49, 4 Ni 2.62
3 Mo 0.0000 0.0000 0.4690  1 Mo 2.49, 4 Ni 2.62
4 Se 0.5000 0.5000 0.7500  8 Mo 2.80, 2 Ni 2.84



2.
A relaxed UH5Ru crystal, computed with PBE.

## Properties
**Calculated total energy**: -5.518 eV/atom
**V**: 8.23 Å³ per atom

a = 4.4139 Å, b = 4.4139 Å, c = 7.8022 Å
α = 63.77°, β = 63.77°, γ = 62.27°
Last column: nearest neighbours and their distance in Å.
Fractional coordinates of all 14 atoms:
1 H 0.0000 0.0000 0.7500  2 Ru 1.95
2 H 0.8966 0.4556 0.4121  1 Ru 1.71
3 H 0.1034 0.5444 0.5879  1 Ru 1.71
4 H 0.4556 0.8966 0.9121  1 Ru 1.71
5 H 0.8970 0.4555 0.9118  1 Ru 1.71
6 U 0.5000 0.5000 0.7500  14 H 2.28-2.47
7 H 0.4555 0.8970 0.4118  1 Ru 1.71
8 U 0.5000 0.5000 0.2500  14 H 2.28-2.47
9 H 0.5445 0.1030 0.5882  1 Ru 1.71
10 Ru 0.0000 0.0000 0.5000  4 H 1.71
11 Ru 0.0000 0.0000 0.0000  4 H 1.71
12 H 0.0000 0.0000 0.2500  2 Ru 1.95
13 H 0.1030 0.5445 0.0882  1 Ru 1.71
14 H 0.5444 0.1034 0.0879  1 Ru 1.71



3.
A relaxed K2TaTc3O12 crystal, computed with PBE.

## Properties
**Calculated total energy**: -7.543 eV/atom
**Formation energy (no corrections)**: -31.13 eV/f.u.
**V**: 15.37 Å³ per atom

a = 7.3567 Å, b = 7.3567 Å, c = 7.3567 Å
α = 59.23°, β = 59.23°, γ = 59.23°
Last column: nearest neighbours and their distance in Å.
Fractional coordinates of all 18 atoms:
1 O 0.0677 0.0677 0.6773  1 Tc 1.95, 1 Ta 1.99
2 Tc 0.5000 0.0000 0.0000  6 O 1.91-1.95
3 O 0.0660 0.6923 0.6923  2 Tc 1.91
4 K 0.6355 0.6355 0.6355  6 O 3.07-3.40
5 Ta 0.0000 0.0000 0.0000  6 O 1.99
6 O 0.3227 0.9323 0.9323  1 Tc 1.95, 1 Ta 1.99
7 O 0.3077 0.9340 0.3077  2 Tc 1.91
8 Tc 0.0000 0.5000 0.0000  6 O 1.91-1.95
9 O 0.9323 0.9323 0.3227  1 Tc 1.95, 1 Ta 1.99
10 K 0.3645 0.3645 0.3645  6 O 3.07-3.40
11 O 0.0677 0.6773 0.0677  1 Tc 1.95, 1 Ta 1.99
12 O 0.6923 0.0660 0.6923  2 Tc 1.91
13 O 0.9340 0.3077 0.3077  2 Tc 1.91
14 Tc 0.0000 0.0000 0.5000  6 O 1.91-1.95
15 O 0.6923 0.6923 0.0660  2 Tc 1.91
16 O 0.9323 0.3227 0.9323  1 Tc 1.95, 1 Ta 1.99
17 O 0.3077 0.3077 0.9340  2 Tc 1.91
18 O 0.6773 0.0677 0.0677  1 Tc 1.95, 1 Ta 1.99



Summary of density of states at the Fermi level in states/eV/f.u.
4.52, 5.05, 5.02
(order as listed above)